VASP calculation (PBE) on a geometry-optimized CaNd2NpO6 structure.

Geometry as POSCAR:
```
CaNd2NpO6
1.0
3.0058 1.7354 5.1294
-3.0058 1.7354 5.1294
0.0000 -3.4708 5.1294
Ca Nd Np O
1 2 1 6
Direct
0.0000 0.0000 0.0000
0.2763 0.2763 0.2763
0.7798 0.7798 0.7798
0.4945 0.4945 0.4945
0.1222 0.6815 0.3877
0.2020 0.6064 0.8682
0.3877 0.1222 0.6815
0.6064 0.8682 0.2020
0.6815 0.3877 0.1222
0.8682 0.2020 0.6064
```

The formation energy (no corrections) comes out at -3137 meV per atom.

=====

VASP calculation (PBE) on a geometry-optimized Ca2NdNpP4 structure.

Geometry as POSCAR:
```
Ca2NdNpP4
1.0
7.0630 0.0000 0.0000
0.0000 4.1137 0.0000
-2.3593 0.0000 6.6963
Ca Nd Np P
2 1 1 4
Direct
0.0000 0.0000 0.0000
0.0000 0.5000 0.5000
0.5000 0.0000 0.5000
0.5000 0.5000 0.0000
0.2666 0.5000 0.2358
0.2730 0.0000 0.7716
0.7270 0.0000 0.2284
0.7334 0.5000 0.7642
```

Its total energy is -6.530 eV/atom.

=====

VASP calculation (PBE) on a geometry-optimized Ca5NdO6 structure.

Geometry as POSCAR:
```
Ca5NdO6
1.0
2.9877 -5.1784 0.0000
2.9877 5.1784 0.0000
-1.9883 0.0000 5.6351
Ca Nd O
5 1 6
Direct
0.0000 0.0000 0.0000
0.1665 0.8335 0.5000
0.3313 0.6687 0.0000
0.6687 0.3313 0.0000
0.8335 0.1665 0.5000
0.5000 0.5000 0.5000
0.0821 0.4166 0.2498
0.2493 0.2493 0.7506
0.4166 0.0821 0.2498
0.5834 0.9179 0.7502
0.7507 0.7507 0.2494
0.9179 0.5834 0.7502
```

The formation energy (no corrections) comes out at -2876 meV per atom.

=====

VASP calculation (PBE) on a geometry-optimized CaNdO4 structure.

Geometry as POSCAR:
```
CaNdO4
1.0
3.4725 -1.9547 0.0000
3.4725 1.9547 0.0000
-0.6651 0.0000 6.6521
Ca Nd O
1 1 4
Direct
0.0000 0.0000 0.0000
0.6318 0.6318 0.5827
0.2303 0.2303 0.3338
0.3990 0.3990 0.2443
0.6637 0.6637 0.9247
0.9645 0.9645 0.6337
```

The formation energy (no corrections) comes out at -2327 meV per atom.

=====

VASP calculation (PBE) on a geometry-optimized Ca2NdO structure.

Geometry as POSCAR:
```
Ca2NdO
1.0
1.7435 1.0066 9.7643
-1.7435 1.0066 9.7643
0.0000 -2.0132 9.7643
Ca Nd O
2 1 1
Direct
0.1187 0.1187 0.1187
0.8813 0.8813 0.8813
0.0000 0.0000 0.0000
0.5000 0.5000 0.5000
```

The formation energy (no corrections) comes out at -1257 meV per atom.

=====

VASP calculation (PBE) on a geometry-optimized CaNdO structure.

Geometry as POSCAR:
```
CaNdO
1.0
12.1929 -2.0212 0.0000
12.1929 2.0212 0.0000
-0.2837 0.0000 8.0183
Ca Nd O
4 4 4
Direct
0.0600 0.0600 0.3462
0.4313 0.4313 0.1358
0.5687 0.5687 0.8642
0.9400 0.9400 0.6538
0.2022 0.2022 0.1196
0.2021 0.2021 0.6202
0.7979 0.7979 0.3798
0.7978 0.7978 0.8804
0.2504 0.2504 0.8750
0.2507 0.2507 0.3752
0.7493 0.7493 0.6248
0.7496 0.7496 0.1250
```

The relative energy among the computed polymorphs comes out at 0 meV per atom. The formation energy (no corrections) comes out at -1757 meV per atom.

=====

VASP calculation (PBE) on a geometry-optimized CaNdO structure.

Geometry as POSCAR:
```
CaNdO
1.0
3.5524 0.0000 0.0000
-1.7762 3.0765 0.0000
0.0000 0.0000 6.2822
Ca Nd O
1 1 1
Direct
0.0000 0.0000 0.0000
0.3333 0.6667 0.4567
0.6667 0.3333 0.1999
```

The relative energy among the computed polymorphs comes out at 64 meV per atom. The formation energy (no corrections) comes out at -1693 meV per atom.

=====

VASP calculation (PBE) on a geometry-optimized Ca2NdOsO8 structure.

Geometry as POSCAR:
```
Ca2NdOsO8
1.0
5.0732 0.0000 0.0000
0.0000 6.9808 0.0000
-0.1834 0.0000 5.0863
Ca Nd Os O
2 1 1 8
Direct
0.0000 0.2386 0.0000
0.0000 0.7614 0.0000
0.5000 0.5000 0.5000
0.5000 0.0000 0.5000
0.1873 0.5000 0.1881
0.2364 0.0000 0.2369
0.3229 0.1957 0.6765
0.3229 0.8043 0.6765
0.6771 0.1957 0.3235
0.6771 0.8043 0.3235
0.7636 0.0000 0.7631
0.8127 0.5000 0.8119
```

The formation energy (no corrections) comes out at -1991 meV per atom.